1.
Compound: Tb4TcHg3
Source: the Alexandria database
Functional: GGA-PBE
Structure: relaxed

Values from the calculation:
energy of formation = -0.3553 eV/atom
V = 197 Å³/cell
total energy = -32.6 eV per formula unit
DOS(E_F) = 8.20 states/eV per cell
mass density = 11.3 g/cm³

The structure in CIF format:
```
data_Tb4TcHg3
_chemical_formula_sum 'Tb4 Tc1 Hg3'
_symmetry_space_group_name_H-M 'P 4/m m m'
_symmetry_Int_Tables_number 123
_symmetry_space_group_name_Hall '-P 4 2'
_cell_length_a 3.602
_cell_length_b 3.602
_cell_length_c 15.162
_cell_angle_alpha 90.00
_cell_angle_beta 90.00
_cell_angle_gamma 90.00
loop_
_atom_site_label
_atom_site_type_symbol
_atom_site_fract_x
_atom_site_fract_y
_atom_site_fract_z
Tb1 Tb 0.000 0.000 0.106
Tb2 Tb 0.000 0.000 0.371
Tc1 Tc 0.500 0.500 0.000
Hg1 Hg 0.500 0.500 0.241
Hg2 Hg 0.500 0.500 0.500
```



2.
Compound: Dy4CdHg2Pd
Source: the Alexandria database
Functional: GGA-PBE
Structure: relaxed

Values from the calculation:
energy of formation = -0.5436 eV/atom
V = 592 Å³/cell
total energy = -29.5 eV per formula unit
DOS(E_F) = 18.32 states/eV per cell
mass density = 10.7 g/cm³

The structure in CIF format:
```
data_Dy4CdHg2Pd
_chemical_formula_sum 'Dy12 Cd3 Hg6 Pd3'
_symmetry_space_group_name_H-M 'R -3 m'
_symmetry_Int_Tables_number 166
_symmetry_space_group_name_Hall '-R 3 2"'
_cell_length_a 5.1988
_cell_length_b 5.1988
_cell_length_c 25.3054
_cell_angle_alpha 90.00
_cell_angle_beta 90.00
_cell_angle_gamma 120.00
loop_
_atom_site_label
_atom_site_type_symbol
_atom_site_fract_x
_atom_site_fract_y
_atom_site_fract_z
Dy1 Dy 0.0000 0.0000 0.1174
Dy2 Dy 0.0000 0.0000 0.3696
Cd1 Cd 0.0000 0.0000 0.5000
Hg1 Hg 0.0000 0.0000 0.2422
Pd1 Pd 0.0000 0.0000 0.0000
```



3.
Compound: Cs4Er3ScSe8
Source: the Alexandria database
Functional: GGA-PBE
Structure: relaxed

Values from the calculation:
V = 1527 Å³/cell
total energy = -78.1 eV per formula unit
ΔE_f (raw) = -38.67 kcal/mol of atoms
DOS(E_F) = 0.00 states/eV per cell
mass density = 5.6 g/cm³

The structure in CIF format:
```
data_Cs4Er3ScSe8
_chemical_formula_sum 'Cs12 Er9 Sc3 Se24'
_symmetry_space_group_name_H-M 'R -3 m'
_symmetry_Int_Tables_number 166
_symmetry_space_group_name_Hall '-R 3 2"'
_cell_length_a 8.3914
_cell_length_b 8.3914
_cell_length_c 25.0364
_cell_angle_alpha 90.00
_cell_angle_beta 90.00
_cell_angle_gamma 120.00
loop_
_atom_site_label
_atom_site_type_symbol
_atom_site_fract_x
_atom_site_fract_y
_atom_site_fract_z
Cs1 Cs 0.0000 0.0000 0.0000
Cs2 Cs 0.0000 0.5000 0.0000
Er1 Er 0.0000 0.5000 0.5000
Sc1 Sc 0.0000 0.0000 0.5000
Se1 Se 0.0000 0.0000 0.2284
Se2 Se 0.0084 0.5042 0.2271
```



4.
Compound: Zn2CoPt2
Source: the Alexandria database
Functional: GGA-PBE
Structure: relaxed

Values from the calculation:
energy of formation = -0.1439 eV/atom
V = 149 Å³/cell
total energy = -22.5 eV per formula unit
DOS(E_F) = 6.86 states/eV per cell
mass density = 12.9 g/cm³

The structure in CIF format:
```
data_Zn2CoPt2
_chemical_formula_sum 'Zn4 Co2 Pt4'
_symmetry_space_group_name_H-M 'P 4/m b m'
_symmetry_Int_Tables_number 127
_symmetry_space_group_name_Hall '-P 4 2ab'
_cell_length_a 7.254
_cell_length_b 7.254
_cell_length_c 2.830
_cell_angle_alpha 90.00
_cell_angle_beta 90.00
_cell_angle_gamma 90.00
loop_
_atom_site_label
_atom_site_type_symbol
_atom_site_fract_x
_atom_site_fract_y
_atom_site_fract_z
Zn1 Zn 0.128 0.372 0.000
Co1 Co 0.000 0.000 0.000
Pt1 Pt 0.172 0.672 0.500
```



5.
Compound: NdZr2Ni
Source: the Alexandria database
Functional: GGA-PBE
Structure: relaxed

Values from the calculation:
energy of formation = -0.0511 eV/atom
V = 88 Å³/cell
total energy = -27.8 eV per formula unit
DOS(E_F) = 5.35 states/eV per cell
mass density = 7.3 g/cm³

The structure in CIF format:
```
data_NdZr2Ni
_chemical_formula_sum 'Nd1 Zr2 Ni1'
_symmetry_space_group_name_H-M 'P 4/m m m'
_symmetry_Int_Tables_number 123
_symmetry_space_group_name_Hall '-P 4 2'
_cell_length_a 3.321
_cell_length_b 3.321
_cell_length_c 7.958
_cell_angle_alpha 90.00
_cell_angle_beta 90.00
_cell_angle_gamma 90.00
loop_
_atom_site_label
_atom_site_type_symbol
_atom_site_fract_x
_atom_site_fract_y
_atom_site_fract_z
Nd1 Nd 0.000 0.000 0.000
Zr1 Zr 0.500 0.500 0.309
Ni1 Ni 0.000 0.000 0.500
```



6.
Compound: KHf3Mg
Source: the Alexandria database
Functional: GGA-PBE
Structure: relaxed

Values from the calculation:
energy of formation = 1.5013 eV/atom
V = 147 Å³/cell
total energy = -25.0 eV per formula unit
DOS(E_F) = 7.81 states/eV per cell
mass density = 6.8 g/cm³

The structure in CIF format:
```
data_KHf3Mg
_chemical_formula_sum 'K1 Hf3 Mg1'
_symmetry_space_group_name_H-M 'P m -3 m'
_symmetry_Int_Tables_number 221
_symmetry_space_group_name_Hall '-P 4 2 3'
_cell_length_a 5.274
_cell_length_b 5.274
_cell_length_c 5.274
_cell_angle_alpha 90.00
_cell_angle_beta 90.00
_cell_angle_gamma 90.00
loop_
_atom_site_label
_atom_site_type_symbol
_atom_site_fract_x
_atom_site_fract_y
_atom_site_fract_z
K1 K 0.000 0.000 0.000
Hf1 Hf 0.000 0.500 0.500
Mg1 Mg 0.500 0.500 0.500
```



7.
Compound: HfSe3
Source: the Alexandria database
Functional: GGA-PBE
Structure: relaxed

Values from the calculation:
V = 82 Å³/cell
total energy = -20.2 eV per formula unit
ΔE_f (raw) = 1.32 kcal/mol of atoms
DOS(E_F) = 3.02 states/eV per cell
mass density = 8.4 g/cm³

The structure in CIF format:
```
data_HfSe3
_chemical_formula_sum 'Hf1 Se3'
_symmetry_space_group_name_H-M 'P m -3 m'
_symmetry_Int_Tables_number 221
_symmetry_space_group_name_Hall '-P 4 2 3'
_cell_length_a 4.338
_cell_length_b 4.338
_cell_length_c 4.338
_cell_angle_alpha 90.00
_cell_angle_beta 90.00
_cell_angle_gamma 90.00
loop_
_atom_site_label
_atom_site_type_symbol
_atom_site_fract_x
_atom_site_fract_y
_atom_site_fract_z
Hf1 Hf 0.000 0.000 0.000
Se1 Se 0.000 0.500 0.500
```



8.
Compound: Pm2DyPuO8
Source: the Alexandria database
Functional: GGA-PBE
Structure: relaxed

Values from the calculation:
V = 165 Å³/cell
total energy = -104.3 eV per formula unit
ΔE_f (raw) = -69.64 kcal/mol of atoms
DOS(E_F) = 1.43 states/eV per cell
mass density = 8.3 g/cm³

The structure in CIF format:
```
data_Pm2DyPuO8
_chemical_formula_sum 'Pm2 Dy1 Pu1 O8'
_symmetry_space_group_name_H-M 'P -1'
_symmetry_Int_Tables_number 2
_cell_length_a 3.980
_cell_length_b 5.523
_cell_length_c 7.530
_cell_angle_alpha 88.48
_cell_angle_beta 89.59
_cell_angle_gamma 84.05
loop_
_symmetry_equiv_pos_as_xyz
'x,y,z'
'-x,-y,-z'
loop_
_atom_site_label
_atom_site_type_symbol
_atom_site_fract_x
_atom_site_fract_y
_atom_site_fract_z
Pm1 Pm 0.000 0.012 0.240
Dy1 Dy 0.500 0.500 0.000
Pu1 Pu 0.500 0.500 0.500
O1 O 0.010 0.747 0.010
O2 O 0.071 0.717 0.503
O3 O 0.450 0.281 0.715
O4 O 0.461 0.257 0.269
```



9.
Compound: Sc8Tl2Pb
Source: the Alexandria database
Functional: GGA-PBE
Structure: relaxed

Values from the calculation:
energy of formation = -0.0959 eV/atom
V = 547 Å³/cell
total energy = -60.1 eV per formula unit
DOS(E_F) = 34.33 states/eV per cell
mass density = 5.9 g/cm³

The structure in CIF format:
```
data_Sc8Tl2Pb
_chemical_formula_sum 'Sc16 Tl4 Pb2'
_symmetry_space_group_name_H-M 'C 1 2/m 1'
_symmetry_Int_Tables_number 12
_cell_length_a 8.204
_cell_length_b 13.858
_cell_length_c 5.290
_cell_angle_alpha 90.00
_cell_angle_beta 114.52
_cell_angle_gamma 90.00
loop_
_symmetry_equiv_pos_as_xyz
'x,y,z'
'-x,-y,-z'
'-x,y,-z'
'x,-y,z'
'x+1/2,y+1/2,z'
'-x+1/2,-y+1/2,-z'
'-x+1/2,y+1/2,-z'
'x+1/2,-y+1/2,z'
loop_
_atom_site_label
_atom_site_type_symbol
_atom_site_fract_x
_atom_site_fract_y
_atom_site_fract_z
Sc1 Sc 0.000 0.218 0.000
Sc2 Sc 0.090 0.500 0.795
Sc3 Sc 0.212 0.113 0.640
Tl1 Tl 0.000 0.304 0.500
Pb1 Pb 0.000 0.000 0.000
```



10.
Compound: LiHfAs2O8
Source: the Alexandria database
Functional: GGA-PBE
Structure: relaxed

Values from the calculation:
V = 286 Å³/cell
total energy = -81.6 eV per formula unit
ΔE_f (raw) = -39.87 kcal/mol of atoms
DOS(E_F) = 15.96 states/eV per cell
mass density = 5.4 g/cm³

The structure in CIF format:
```
data_LiHfAs2O8
_chemical_formula_sum 'Li2 Hf2 As4 O16'
_symmetry_space_group_name_H-M 'I -4 m 2'
_symmetry_Int_Tables_number 119
_symmetry_space_group_name_Hall 'I -4 -2'
_cell_length_a 6.807
_cell_length_b 6.807
_cell_length_c 6.184
_cell_angle_alpha 90.00
_cell_angle_beta 90.00
_cell_angle_gamma 90.00
loop_
_atom_site_label
_atom_site_type_symbol
_atom_site_fract_x
_atom_site_fract_y
_atom_site_fract_z
Li1 Li 0.000 0.000 0.000
Hf1 Hf 0.000 0.500 0.250
As1 As 0.000 0.000 0.500
As2 As 0.000 0.500 0.750
O1 O 0.000 0.198 0.330
O2 O 0.000 0.313 0.939
```



11.
Compound: NbTeO2F
Source: the Alexandria database
Functional: GGA-PBE
Structure: relaxed

Values from the calculation:
V = 73 Å³/cell
total energy = -31.7 eV per formula unit
ΔE_f (raw) = -30.92 kcal/mol of atoms
DOS(E_F) = 4.24 states/eV per cell
mass density = 6.1 g/cm³

The structure in CIF format:
```
data_NbTeO2F
_chemical_formula_sum 'Nb1 Te1 O2 F1'
_symmetry_space_group_name_H-M 'P 4/m m m'
_symmetry_Int_Tables_number 123
_symmetry_space_group_name_Hall '-P 4 2'
_cell_length_a 4.062
_cell_length_b 4.062
_cell_length_c 4.443
_cell_angle_alpha 90.00
_cell_angle_beta 90.00
_cell_angle_gamma 90.00
loop_
_atom_site_label
_atom_site_type_symbol
_atom_site_fract_x
_atom_site_fract_y
_atom_site_fract_z
Nb1 Nb 0.000 0.000 0.000
Te1 Te 0.500 0.500 0.500
O1 O 0.000 0.500 0.000
F1 F 0.000 0.000 0.500
```



12.
Compound: NaSr2Ga
Source: the Alexandria database
Functional: GGA-PBE
Structure: relaxed

Values from the calculation:
energy of formation = -0.0252 eV/atom
V = 532 Å³/cell
total energy = -7.8 eV per formula unit
DOS(E_F) = 6.21 states/eV per cell
mass density = 2.5 g/cm³

The structure in CIF format:
```
data_NaSr2Ga
_chemical_formula_sum 'Na3 Sr6 Ga3'
_symmetry_space_group_name_H-M 'R -3 m'
_symmetry_Int_Tables_number 166
_symmetry_space_group_name_Hall '-R 3 2"'
_cell_length_a 4.1278
_cell_length_b 4.1278
_cell_length_c 36.0225
_cell_angle_alpha 90.00
_cell_angle_beta 90.00
_cell_angle_gamma 120.00
loop_
_atom_site_label
_atom_site_type_symbol
_atom_site_fract_x
_atom_site_fract_y
_atom_site_fract_z
Na1 Na 0.0000 0.0000 0.0000
Sr1 Sr 0.0000 0.0000 0.1065
Ga1 Ga 0.0000 0.0000 0.5000
```



Copy entry 2 word for word.
Compound: Dy4CdHg2Pd
Source: the Alexandria database
Functional: GGA-PBE
Structure: relaxed

Values from the calculation:
energy of formation = -0.5436 eV/atom
V = 592 Å³/cell
total energy = -29.5 eV per formula unit
DOS(E_F) = 18.32 states/eV per cell
mass density = 10.7 g/cm³

The structure in CIF format:
```
data_Dy4CdHg2Pd
_chemical_formula_sum 'Dy12 Cd3 Hg6 Pd3'
_symmetry_space_group_name_H-M 'R -3 m'
_symmetry_Int_Tables_number 166
_symmetry_space_group_name_Hall '-R 3 2"'
_cell_length_a 5.1988
_cell_length_b 5.1988
_cell_length_c 25.3054
_cell_angle_alpha 90.00
_cell_angle_beta 90.00
_cell_angle_gamma 120.00
loop_
_atom_site_label
_atom_site_type_symbol
_atom_site_fract_x
_atom_site_fract_y
_atom_site_fract_z
Dy1 Dy 0.0000 0.0000 0.1174
Dy2 Dy 0.0000 0.0000 0.3696
Cd1 Cd 0.0000 0.0000 0.5000
Hg1 Hg 0.0000 0.0000 0.2422
Pd1 Pd 0.0000 0.0000 0.0000
```